(1)
A plane-wave DFT calculation with GGA-PBE was carried out for an optimized crystal structure of CaEuHgIr.

Unit cell a=5.1310 b=5.1310 c=5.1310 alpha=60.00 beta=60.00 gamma=60.00
Sites, in units of the cell vectors:
Ca: 0.0000 0.0000 0.0000
Eu: 0.5000 0.5000 0.5000
Hg: 0.2500 0.2500 0.2500
Ir: 0.7500 0.7500 0.7500

Computed properties:
- DFT total energy (eV/atom) = -5.699
- D(E_F) (states/eV/f.u.) = 8.1
- size of the total moment (μB/cell) = 7.04
- SG = F-43m

***

(2)
A plane-wave DFT calculation with GGA-PBE was carried out for an optimized crystal structure of NaCaEuHg.

Unit cell a=5.6238 b=5.6238 c=5.6238 alpha=60.00 beta=60.00 gamma=60.00
Sites, in units of the cell vectors:
Na: 0.0000 0.0000 0.0000
Ca: 0.7500 0.7500 0.7500
Eu: 0.2500 0.2500 0.2500
Hg: 0.5000 0.5000 0.5000

Computed properties:
- DFT total energy (eV/atom) = -3.682
- D(E_F) (states/eV/f.u.) = 10.1
- size of the total moment (μB/cell) = 7.70
- SG = F-43m

***

(3)
A plane-wave DFT calculation with GGA-PBE was carried out for an optimized crystal structure of CaNdEuHg.

Unit cell a=5.6647 b=5.6647 c=5.6647 alpha=60.00 beta=60.00 gamma=60.00
Sites, in units of the cell vectors:
Ca: 0.0000 0.0000 0.0000
Nd: 0.2500 0.2500 0.2500
Eu: 0.7500 0.7500 0.7500
Hg: 0.5000 0.5000 0.5000

Computed properties:
- DFT total energy (eV/atom) = -4.429
- D(E_F) (states/eV/f.u.) = 7.3
- size of the total moment (μB/cell) = 7.75
- SG = F-43m

***

(4)
A plane-wave DFT calculation with GGA-PBE was carried out for an optimized crystal structure of CaEuHgPb.

Unit cell a=5.5358 b=5.5358 c=5.5358 alpha=60.00 beta=60.00 gamma=60.00
Sites, in units of the cell vectors:
Ca: 0.0000 0.0000 0.0000
Eu: 0.5000 0.5000 0.5000
Hg: 0.7500 0.7500 0.7500
Pb: 0.2500 0.2500 0.2500

Computed properties:
- DFT total energy (eV/atom) = -4.680
- D(E_F) (states/eV/f.u.) = 9.4
- size of the total moment (μB/cell) = 7.05
- SG = F-43m

***

(5)
A plane-wave DFT calculation with GGA-PBE was carried out for an optimized crystal structure of CaPrEuHg.

Unit cell a=5.6851 b=5.6851 c=5.6851 alpha=60.00 beta=60.00 gamma=60.00
Sites, in units of the cell vectors:
Ca: 0.0000 0.0000 0.0000
Pr: 0.2500 0.2500 0.2500
Eu: 0.7500 0.7500 0.7500
Hg: 0.5000 0.5000 0.5000

Computed properties:
- DFT total energy (eV/atom) = -4.438
- D(E_F) (states/eV/f.u.) = 8.3
- size of the total moment (μB/cell) = 7.76
- SG = F-43m

***

(6)
A plane-wave DFT calculation with GGA-PBE was carried out for an optimized crystal structure of CaEuHgPt.

Unit cell a=5.2070 b=5.2070 c=5.2070 alpha=60.00 beta=60.00 gamma=60.00
Sites, in units of the cell vectors:
Ca: 0.0000 0.0000 0.0000
Eu: 0.5000 0.5000 0.5000
Hg: 0.7500 0.7500 0.7500
Pt: 0.2500 0.2500 0.2500

Computed properties:
- DFT total energy (eV/atom) = -5.338
- D(E_F) (states/eV/f.u.) = 7.9
- size of the total moment (μB/cell) = 7.10
- SG = F-43m

***

(7)
A plane-wave DFT calculation with GGA-PBE was carried out for an optimized crystal structure of CaEuHgRh.

Unit cell a=5.1630 b=5.1630 c=5.1630 alpha=60.00 beta=60.00 gamma=60.00
Sites, in units of the cell vectors:
Ca: 0.0000 0.0000 0.0000
Eu: 0.5000 0.5000 0.5000
Hg: 0.2500 0.2500 0.2500
Rh: 0.7500 0.7500 0.7500

Computed properties:
- DFT total energy (eV/atom) = -5.377
- D(E_F) (states/eV/f.u.) = 10.3
- size of the total moment (μB/cell) = 7.13
- SG = F-43m

***

(8)
A plane-wave DFT calculation with GGA-PBE was carried out for an optimized crystal structure of CaEuHgSb.

Unit cell a=5.4882 b=5.4882 c=5.4882 alpha=60.00 beta=60.00 gamma=60.00
Sites, in units of the cell vectors:
Ca: 0.0000 0.0000 0.0000
Eu: 0.5000 0.5000 0.5000
Hg: 0.7500 0.7500 0.7500
Sb: 0.2500 0.2500 0.2500

Computed properties:
- D(E_F) (states/eV/f.u.) = 3.6
- E_form (uncorrected) (eV per atom) = -0.7495
- size of the total moment (μB/cell) = 7.38
- SG = F-43m

***

(9)
A plane-wave DFT calculation with GGA-PBE was carried out for an optimized crystal structure of CaEuSiHg.

Unit cell a=5.2878 b=5.2878 c=5.2878 alpha=60.00 beta=60.00 gamma=60.00
Sites, in units of the cell vectors:
Ca: 0.0000 0.0000 0.0000
Eu: 0.5000 0.5000 0.5000
Si: 0.2500 0.2500 0.2500
Hg: 0.7500 0.7500 0.7500

Computed properties:
- D(E_F) (states/eV/f.u.) = 7.0
- E_form (uncorrected) (eV per atom) = -0.4881
- size of the total moment (μB/cell) = 7.05
- SG = F-43m

***

(10)
A plane-wave DFT calculation with GGA-PBE was carried out for an optimized crystal structure of CaSmEuHg.

Unit cell a=5.6355 b=5.6355 c=5.6355 alpha=60.00 beta=60.00 gamma=60.00
Sites, in units of the cell vectors:
Ca: 0.0000 0.0000 0.0000
Sm: 0.7500 0.7500 0.7500
Eu: 0.2500 0.2500 0.2500
Hg: 0.5000 0.5000 0.5000

Computed properties:
- DFT total energy (eV/atom) = -4.405
- D(E_F) (states/eV/f.u.) = 5.6
- size of the total moment (μB/cell) = 7.75
- SG = F-43m

***

(11)
A plane-wave DFT calculation with GGA-PBE was carried out for an optimized crystal structure of SrCaEuHg.

Unit cell a=5.8705 b=5.8705 c=5.8705 alpha=60.00 beta=60.00 gamma=60.00
Sites, in units of the cell vectors:
Sr: 0.0000 0.0000 0.0000
Ca: 0.2500 0.2500 0.2500
Eu: 0.5000 0.5000 0.5000
Hg: 0.7500 0.7500 0.7500

Computed properties:
- DFT total energy (eV/atom) = -3.682
- D(E_F) (states/eV/f.u.) = 2.8
- size of the total moment (μB/cell) = 7.15
- SG = F-43m

***

(12)
A plane-wave DFT calculation with GGA-PBE was carried out for an optimized crystal structure of CaEuTlHg.

Unit cell a=5.5021 b=5.5021 c=5.5021 alpha=60.00 beta=60.00 gamma=60.00
Sites, in units of the cell vectors:
Ca: 0.0000 0.0000 0.0000
Eu: 0.5000 0.5000 0.5000
Tl: 0.7500 0.7500 0.7500
Hg: 0.2500 0.2500 0.2500

Computed properties:
- DFT total energy (eV/atom) = -4.236
- D(E_F) (states/eV/f.u.) = 11.5
- size of the total moment (μB/cell) = 7.08
- SG = F-43m

***

(13)
A plane-wave DFT calculation with GGA-PBE was carried out for an optimized crystal structure of CaEuHo.

Unit cell a=8.5272 b=8.5272 c=8.5272 alpha=154.73 beta=154.73 gamma=36.04
Sites, in units of the cell vectors:
Ca: 0.0000 0.0000 0.0000
Eu: 0.3180 0.3180 0.0000
Ho: 0.6626 0.6626 0.0000

Computed properties:
- D(E_F) (states/eV/f.u.) = 3.9
- size of the total moment (μB/cell) = 8.20
- SG = I4mm
- energy relative to the lowest polymorph listed for this composition (meV per atom) = 9

***

(14)
A plane-wave DFT calculation with GGA-PBE was carried out for an optimized crystal structure of CaEuHo.

Unit cell a=3.7258 b=3.7258 c=9.2743 alpha=90.00 beta=90.00 gamma=120.00
Sites, in units of the cell vectors:
Ca: 0.0000 0.0000 0.0000
Eu: 0.3333 0.6667 0.6459
Ho: 0.6667 0.3333 0.3267

Computed properties:
- D(E_F) (states/eV/f.u.) = 4.3
- size of the total moment (μB/cell) = 7.78
- SG = P3m1
- energy relative to the lowest polymorph listed for this composition (meV per atom) = 0

***

(15)
A plane-wave DFT calculation with GGA-PBE was carried out for an optimized crystal structure of CaEuHoIn.

Unit cell a=5.6126 b=5.6126 c=5.6126 alpha=60.00 beta=60.00 gamma=60.00
Sites, in units of the cell vectors:
Ca: 0.0000 0.0000 0.0000
Eu: 0.2500 0.2500 0.2500
Ho: 0.7500 0.7500 0.7500
In: 0.5000 0.5000 0.5000

Computed properties:
- DFT total energy (eV/atom) = -5.045
- D(E_F) (states/eV/f.u.) = 9.4
- size of the total moment (μB/cell) = 7.33
- SG = F-43m

***

(16)
A plane-wave DFT calculation with GGA-PBE was carried out for an optimized crystal structure of CaLaEuHo.

Unit cell a=5.9619 b=5.9619 c=5.9619 alpha=60.00 beta=60.00 gamma=60.00
Sites, in units of the cell vectors:
Ca: 0.0000 0.0000 0.0000
La: 0.7500 0.7500 0.7500
Eu: 0.2500 0.2500 0.2500
Ho: 0.5000 0.5000 0.5000

Computed properties:
- DFT total energy (eV/atom) = -5.313
- D(E_F) (states/eV/f.u.) = 5.8
- size of the total moment (μB/cell) = 7.26
- SG = F-43m

***

(17)
A plane-wave DFT calculation with GGA-PBE was carried out for an optimized crystal structure of CaEuHoLu.

Unit cell a=5.7985 b=5.7985 c=5.7985 alpha=60.00 beta=60.00 gamma=60.00
Sites, in units of the cell vectors:
Ca: 0.0000 0.0000 0.0000
Eu: 0.7500 0.7500 0.7500
Ho: 0.2500 0.2500 0.2500
Lu: 0.5000 0.5000 0.5000

Computed properties:
- DFT total energy (eV/atom) = -5.179
- D(E_F) (states/eV/f.u.) = 5.9
- size of the total moment (μB/cell) = 7.46
- SG = F-43m

***

(18)
A plane-wave DFT calculation with GGA-PBE was carried out for an optimized crystal structure of CaPrEuHo.

Unit cell a=5.9305 b=5.9305 c=5.9305 alpha=60.00 beta=60.00 gamma=60.00
Sites, in units of the cell vectors:
Ca: 0.0000 0.0000 0.0000
Pr: 0.2500 0.2500 0.2500
Eu: 0.7500 0.7500 0.7500
Ho: 0.5000 0.5000 0.5000

Computed properties:
- DFT total energy (eV/atom) = -5.282
- D(E_F) (states/eV/f.u.) = 5.4
- size of the total moment (μB/cell) = 7.20
- SG = F-43m

***

(19)
A plane-wave DFT calculation with GGA-PBE was carried out for an optimized crystal structure of CaEuHoSc.

Unit cell a=5.7085 b=5.7085 c=5.7085 alpha=60.00 beta=60.00 gamma=60.00
Sites, in units of the cell vectors:
Ca: 0.0000 0.0000 0.0000
Eu: 0.7500 0.7500 0.7500
Ho: 0.5000 0.5000 0.5000
Sc: 0.2500 0.2500 0.2500

Computed properties:
- DFT total energy (eV/atom) = -5.594
- D(E_F) (states/eV/f.u.) = 5.5
- size of the total moment (μB/cell) = 7.55
- SG = F-43m

***

(20)
A plane-wave DFT calculation with GGA-PBE was carried out for an optimized crystal structure of CaSmEuHo.

Unit cell a=5.8817 b=5.8817 c=5.8817 alpha=60.00 beta=60.00 gamma=60.00
Sites, in units of the cell vectors:
Ca: 0.0000 0.0000 0.0000
Sm: 0.2500 0.2500 0.2500
Eu: 0.7500 0.7500 0.7500
Ho: 0.5000 0.5000 0.5000

Computed properties:
- DFT total energy (eV/atom) = -5.254
- D(E_F) (states/eV/f.u.) = 5.3
- size of the total moment (μB/cell) = 7.23
- SG = F-43m

***

(21)
A plane-wave DFT calculation with GGA-PBE was carried out for an optimized crystal structure of CaEuHoTl.

Unit cell a=5.6390 b=5.6390 c=5.6390 alpha=60.00 beta=60.00 gamma=60.00
Sites, in units of the cell vectors:
Ca: 0.0000 0.0000 0.0000
Eu: 0.7500 0.7500 0.7500
Ho: 0.2500 0.2500 0.2500
Tl: 0.5000 0.5000 0.5000

Computed properties:
- DFT total energy (eV/atom) = -4.881
- D(E_F) (states/eV/f.u.) = 8.4
- size of the total moment (μB/cell) = 7.41
- SG = F-43m

***

(22)
A plane-wave DFT calculation with GGA-PBE was carried out for an optimized crystal structure of CaEuYHo.

Unit cell a=5.8531 b=5.8531 c=5.8531 alpha=60.00 beta=60.00 gamma=60.00
Sites, in units of the cell vectors:
Ca: 0.0000 0.0000 0.0000
Eu: 0.2500 0.2500 0.2500
Y: 0.7500 0.7500 0.7500
Ho: 0.5000 0.5000 0.5000

Computed properties:
- DFT total energy (eV/atom) = -5.678
- D(E_F) (states/eV/f.u.) = 5.6
- size of the total moment (μB/cell) = 7.45
- SG = F-43m

***

(23)
A plane-wave DFT calculation with GGA-PBE was carried out for an optimized crystal structure of CaEuI2.

Unit cell a=11.1554 b=11.1554 c=11.1554 alpha=22.54 beta=22.54 gamma=22.54
Sites, in units of the cell vectors:
Ca: 0.0000 0.0000 0.0000
Eu: 0.5000 0.5000 0.5000
I: 0.3910 0.3910 0.3910
I: 0.6090 0.6090 0.6090

Computed properties:
- D(E_F) (states/eV/f.u.) = 2.4
- E_form (uncorrected) (eV per atom) = -1.0228
- size of the total moment (μB/cell) = 7.34
- SG = R-3m

***

(24)
A plane-wave DFT calculation with GGA-PBE was carried out for an optimized crystal structure of Ca5Eu3I12.

Unit cell a=16.5125 b=16.5125 c=16.5125 alpha=109.47 beta=109.47 gamma=109.47
Sites, in units of the cell vectors:
Ca: 0.0000 0.0000 0.0000
Ca: 0.0000 0.0000 0.5000
Ca: 0.0000 0.5000 0.0000
Ca: 0.0000 0.5000 0.5000
Ca: 0.1250 0.7500 0.8750
Ca: 0.1250 0.8750 0.2500
Ca: 0.2500 0.1250 0.8750
Ca: 0.2500 0.6250 0.3750
Ca: 0.3750 0.2500 0.6250
Ca: 0.3750 0.6250 0.7500
Ca: 0.5000 0.0000 0.0000
Ca: 0.5000 0.0000 0.5000
Ca: 0.5000 0.5000 0.0000
Ca: 0.5000 0.5000 0.5000
Ca: 0.6250 0.3750 0.2500
Ca: 0.6250 0.7500 0.3750
Ca: 0.7500 0.3750 0.6250
Ca: 0.7500 0.8750 0.1250
Ca: 0.8750 0.1250 0.7500
Ca: 0.8750 0.2500 0.1250
Eu: 0.1250 0.2500 0.3750
Eu: 0.1250 0.3750 0.7500
Eu: 0.2500 0.3750 0.1250
Eu: 0.2500 0.8750 0.6250
Eu: 0.3750 0.1250 0.2500
Eu: 0.3750 0.7500 0.1250
Eu: 0.6250 0.2500 0.8750
Eu: 0.6250 0.8750 0.7500
Eu: 0.7500 0.1250 0.3750
Eu: 0.7500 0.6250 0.8750
Eu: 0.8750 0.6250 0.2500
Eu: 0.8750 0.7500 0.6250
I: 0.0459 0.2185 0.1268
I: 0.0459 0.3273 0.9191
I: 0.0809 0.6268 0.4083
I: 0.0809 0.9541 0.6727
I: 0.0917 0.7185 0.6727
I: 0.0917 0.8732 0.4191
I: 0.1268 0.0459 0.2185
I: 0.1268 0.5809 0.9083
I: 0.1727 0.2185 0.5917
I: 0.1727 0.4541 0.5809
I: 0.2185 0.1268 0.0459
I: 0.2185 0.5917 0.1727
I: 0.2815 0.3273 0.9083
I: 0.2815 0.4541 0.3732
I: 0.3273 0.9083 0.2815
I: 0.3273 0.9191 0.0459
I: 0.3732 0.2815 0.4541
I: 0.3732 0.5917 0.9191
I: 0.4083 0.0809 0.6268
I: 0.4083 0.8273 0.7815
I: 0.4191 0.0917 0.8732
I: 0.4191 0.8273 0.5459
I: 0.4541 0.3732 0.2815
I: 0.4541 0.5809 0.1727
I: 0.5459 0.4191 0.8273
I: 0.5459 0.6268 0.7185
I: 0.5809 0.1727 0.4541
I: 0.5809 0.9083 0.1268
I: 0.5917 0.1727 0.2185
I: 0.5917 0.9191 0.3732
I: 0.6268 0.4083 0.0809
I: 0.6268 0.7185 0.5459
I: 0.6727 0.0809 0.9541
I: 0.6727 0.0917 0.7185
I: 0.7185 0.5459 0.6268
I: 0.7185 0.6727 0.0917
I: 0.7815 0.4083 0.8273
I: 0.7815 0.8732 0.9541
I: 0.8273 0.5459 0.4191
I: 0.8273 0.7815 0.4083
I: 0.8732 0.4191 0.0917
I: 0.8732 0.9541 0.7815
I: 0.9083 0.1268 0.5809
I: 0.9083 0.2815 0.3273
I: 0.9191 0.0459 0.3273
I: 0.9191 0.3732 0.5917
I: 0.9541 0.6727 0.0809
I: 0.9541 0.7815 0.8732

Computed properties:
- D(E_F) (states/eV/f.u.) = 14.2
- E_form (uncorrected) (eV per atom) = -1.2053
- size of the total moment (μB/cell) = 97.93
- SG = Ia-3d

***

(25)
A plane-wave DFT calculation with GGA-PBE was carried out for an optimized crystal structure of CaEu2In.

Unit cell a=5.7808 b=5.7808 c=5.7808 alpha=60.00 beta=60.00 gamma=60.00
Sites, in units of the cell vectors:
Ca: 0.0000 0.0000 0.0000
Eu: 0.2500 0.2500 0.2500
Eu: 0.7500 0.7500 0.7500
In: 0.5000 0.5000 0.5000

Computed properties:
- D(E_F) (states/eV/f.u.) = 14.5
- size of the total moment (μB/cell) = 14.62
- SG = Fm-3m
- energy relative to the lowest polymorph listed for this composition (meV per atom) = 37

***

(26)
A plane-wave DFT calculation with GGA-PBE was carried out for an optimized crystal structure of CaEu2In.

Unit cell a=12.5893 b=12.5893 c=12.5893 alpha=17.23 beta=17.23 gamma=17.23
Sites, in units of the cell vectors:
Ca: 0.0000 0.0000 0.0000
Eu: 0.0970 0.0970 0.0970
Eu: 0.9030 0.9030 0.9030
In: 0.5000 0.5000 0.5000

Computed properties:
- D(E_F) (states/eV/f.u.) = 10.2
- size of the total moment (μB/cell) = 15.04
- SG = R-3m
- energy relative to the lowest polymorph listed for this composition (meV per atom) = 206